# 1
The following is a GGA-PBE calculation of a relaxed structure of KCrBr3, from Alexandria via LeMat-Bulk.

## Properties
size of the total moment = 4.0 μB per formula unit
uncorrected energy = -4.2214 eV/atom
space-group type = No. 63
N(E_F) = 2.84 states/eV/cell
E_form (uncorrected) = -517.9 kJ/mol of formula units

a = 7.3565 Å, b = 7.3565 Å, c = 10.6835 Å
α = 90.00°, β = 90.00°, γ = 90.37°
Closest atoms and distances in Å follow each position.
Fractional coordinates of all 20 atoms:
K 0.0167 0.9833 0.7500  6 Br 3.34-3.56
K 0.4770 0.5230 0.2500  10 Br 3.43-3.71
K 0.5230 0.4770 0.7500  10 Br 3.43-3.71
K 0.9833 0.0167 0.2500  6 Br 3.34-3.56
Cr 0.0000 0.5000 0.0000  6 Br 2.65-2.68
Cr 0.0000 0.5000 0.5000  6 Br 2.65-2.68
Cr 0.5000 0.0000 0.0000  6 Br 2.65-2.68
Cr 0.5000 0.0000 0.5000  6 Br 2.65-2.68
Br 0.0255 0.5252 0.7500  2 Cr 2.68
Br 0.2071 0.7929 0.0260  2 Cr 2.65
Br 0.2071 0.7929 0.4740  2 Cr 2.65
Br 0.2934 0.2934 0.0000  2 Cr 2.65
Br 0.2934 0.2934 0.5000  2 Cr 2.65
Br 0.4748 0.9745 0.7500  2 Cr 2.68
Br 0.5252 0.0255 0.2500  2 Cr 2.68
Br 0.7066 0.7066 0.0000  2 Cr 2.65
Br 0.7066 0.7066 0.5000  2 Cr 2.65
Br 0.7929 0.2071 0.5260  2 Cr 2.65
Br 0.7929 0.2071 0.9740  2 Cr 2.65
Br 0.9745 0.4748 0.2500  2 Cr 2.68

# 2
The following is a GGA-PBE calculation of a relaxed structure of HfSbP, from Alexandria via LeMat-Bulk.

## Properties
size of the total moment = 0.0 μB per formula unit
uncorrected energy = -7.0721 eV/atom
space-group type = No. 12
N(E_F) = 1.16 states/eV/cell
E_form (uncorrected) = -167.0 kJ/mol of formula units

a = 5.1645 Å, b = 5.1645 Å, c = 7.5782 Å
α = 109.17°, β = 109.17°, γ = 41.65°
Closest atoms and distances in Å follow each position.
Fractional coordinates of all 6 atoms:
Hf 0.1614 0.1614 0.1502  5 P 2.71-2.79, 2 Sb 2.97
Hf 0.8386 0.8386 0.8498  5 P 2.71-2.79, 2 Sb 2.97
Sb 0.1540 0.1540 0.5526  3 Sb 2.80-2.91, 3 Hf 2.97-3.07
Sb 0.8460 0.8460 0.4474  3 Sb 2.80-2.91, 3 Hf 2.97-3.07
P 0.4438 0.4438 0.1289  1 P 2.55, 5 Hf 2.71-2.79
P 0.5562 0.5562 0.8711  1 P 2.55, 5 Hf 2.71-2.79